A relaxed structure of K2PaW3O12, computed with GGA+U.

Unit cell a=7.4834 b=7.4834 c=19.0740 alpha=90.00 beta=90.00 gamma=120.00
Space group R-3m (No. 166, hexagonal axes)
Symmetry-distinct sites (fractional):
K (0.0000, 0.0000, 0.1631) x6
Pa (0.0000, 0.0000, 0.5000) x3
W (0.0000, 0.5000, 0.0000) x9
O (0.0573, 0.5287, 0.1011) x18
O (0.0893, 0.5446, 0.3470) x18

## Properties
* M_tot: 3.0 Bohr magnetons per cell
* VASP energy: -7.488 eV per atom